Ac2La6Pm: optimized geometry, PBE-GGA.

Properties
The density comes out at 6.91 g/cm³. Its energy above the most stable polymorph in this dataset is 0.0000 eV/atom. Its total magnetization is 0.00 Bohr magnetons per cell. Its formation energy is 0.06 eV per atom. The symmetry is No. 15.

abc: 9.445 9.445 9.464
angles: 112.62 112.62 66.64
Element x y z (fractional)
Ac  0.003  0.179  0.171
Ac  0.179  0.003  0.671
Ac  0.821  0.997  0.329
Ac  0.997  0.821  0.829
La  0.081  0.589  0.419
La  0.176  0.348  0.007
La  0.348  0.176  0.507
La  0.352  0.486  0.833
La  0.411  0.919  0.081
La  0.486  0.352  0.333
La  0.514  0.648  0.667
La  0.589  0.081  0.919
La  0.648  0.514  0.167
La  0.652  0.824  0.493
La  0.824  0.652  0.993
La  0.919  0.411  0.581
Pm  0.242  0.758  0.250
Pm  0.758  0.242  0.750

***

Nd3Th2Tc2: optimized geometry, PBE-GGA.

Properties
The density comes out at 9.01 g/cm³. Its total magnetization is 0.00 Bohr magnetons per cell. Its formation energy is -0.04 eV per atom. The symmetry is No. 2.

abc: 4.010 6.501 8.709
angles: 110.08 90.03 107.90
Element x y z (fractional)
Nd  0.000  0.000  0.000
Nd  0.122  0.242  0.419
Nd  0.878  0.758  0.581
Th  0.332  0.664  0.188
Th  0.668  0.336  0.812
Tc  0.307  0.614  0.793
Tc  0.693  0.386  0.207